(1)
VASP calculation (PBE) on Ca2TlAu3 after structural relaxation.

Summary:
The energy above the lowest structure with this stoichiometry comes out at 0 kJ/mol of formula units. Its density of states at the Fermi level is 4.0 states/eV/cell. As for the formation energy: -610 meV/atom.

a b c (Å): 5.0925 5.0925 12.6661
angles (deg): 90.00 90.00 120.00
Last column: nearest neighbours and their distance in Å.
Fractional positions:
Ca 0.0000 0.0000 0.0000  8 Au 3.05-3.09
Ca 0.0000 0.0000 0.5000  8 Au 3.09-3.24
Ca 0.3333 0.6667 0.1813  8 Au 3.05-3.29
Ca 0.6667 0.3333 0.8187  8 Au 3.05-3.29
Tl 0.3333 0.6667 0.6663  8 Au 3.05-3.41
Tl 0.6667 0.3333 0.3337  8 Au 3.05-3.41
Au 0.0000 0.0000 0.2442  5 Ca 3.05-3.24, 3 Tl 3.15
Au 0.0000 0.0000 0.7558  5 Ca 3.05-3.24, 3 Tl 3.15
Au 0.3333 0.6667 0.4253  4 Tl 3.05-3.16, 4 Ca 3.09
Au 0.3333 0.6667 0.9356  7 Ca 3.05-3.29, 3 Au 3.36, 1 Tl 3.41
Au 0.6667 0.3333 0.0644  7 Ca 3.05-3.29, 3 Au 3.36, 1 Tl 3.41
Au 0.6667 0.3333 0.5747  4 Tl 3.05-3.16, 4 Ca 3.09

=====

(2)
VASP calculation (PBE) on Ca2TlAu3 after structural relaxation.

Summary:
The energy above the lowest structure with this stoichiometry comes out at 17 kJ/mol of formula units. Its density of states at the Fermi level is 7.5 states/eV/cell. As for the formation energy: -581 meV/atom.

a b c (Å): 9.6891 9.1079 6.0141
angles (deg): 76.68 66.17 37.16
Last column: nearest neighbours and their distance in Å.
Fractional positions:
Ca 0.2422 0.7578 0.7578  10 Au 3.27-3.36, 2 Tl 3.33, 1 Ca 3.44
Ca 0.2500 0.2500 0.2500  8 Au 3.32, 4 Tl 3.32, 2 Ca 3.55
Ca 0.7500 0.7500 0.7500  8 Au 3.32, 4 Tl 3.32, 2 Ca 3.55
Ca 0.7578 0.2422 0.2422  10 Au 3.27-3.36, 2 Tl 3.33, 1 Ca 3.44
Tl 0.3341 0.3341 0.6659  3 Au 2.82
Tl 0.6659 0.6659 0.3341  3 Au 2.82
Au 0.1649 0.6697 0.3303  2 Au 2.77-2.78, 1 Tl 2.82
Au 0.1658 0.1658 0.8342  2 Au 2.78, 1 Tl 2.82
Au 0.3303 0.8351 0.1649  2 Au 2.77-2.78, 1 Tl 2.82
Au 0.6697 0.1649 0.8351  2 Au 2.77-2.78, 1 Tl 2.82
Au 0.8342 0.8342 0.1658  2 Au 2.78, 1 Tl 2.82
Au 0.8351 0.3303 0.6697  2 Au 2.77-2.78, 1 Tl 2.82

=====

(3)
VASP calculation (PBE) on Ca3TlAu4 after structural relaxation.

Summary:
Its density of states at the Fermi level is 4.1 states/eV/cell. As for the formation energy: -664 meV/atom.

a b c (Å): 8.8757 8.8757 8.8757
angles (deg): 33.60 33.60 33.60
Last column: nearest neighbours and their distance in Å.
Fractional positions:
Ca 0.0000 0.0000 0.0000  8 Au 3.02-3.09
Ca 0.2434 0.2434 0.2434  8 Au 3.06-3.27
Ca 0.7566 0.7566 0.7566  8 Au 3.06-3.27
Tl 0.5000 0.5000 0.5000  8 Au 3.18-3.32, 6 Ca 3.53
Au 0.1203 0.1203 0.1203  5 Ca 3.02-3.09, 3 Tl 3.18
Au 0.3679 0.3679 0.3679  7 Ca 3.09-3.27, 1 Tl 3.32, 3 Au 3.43
Au 0.6321 0.6321 0.6321  7 Ca 3.09-3.27, 1 Tl 3.32, 3 Au 3.43
Au 0.8797 0.8797 0.8797  5 Ca 3.02-3.09, 3 Tl 3.18

=====

(4)
VASP calculation (PBE) on CaTl2Au2 after structural relaxation.

Summary:
The energy above the lowest structure with this stoichiometry comes out at 3 kJ/mol of formula units. Its density of states at the Fermi level is 4.5 states/eV/cell. As for the formation energy: -286 meV/atom.

a b c (Å): 7.7280 7.7280 4.3298
angles (deg): 90.00 90.00 90.00
Last column: nearest neighbours and their distance in Å.
Fractional positions:
Ca 0.0000 0.0000 0.0000  4 Au 3.02
Ca 0.5000 0.5000 0.0000  4 Au 3.02
Tl 0.1714 0.3286 0.5000  6 Au 3.05-3.20
Tl 0.3286 0.8286 0.5000  6 Au 3.05-3.20
Tl 0.6714 0.1714 0.5000  6 Au 3.05-3.20
Tl 0.8286 0.6714 0.5000  6 Au 3.05-3.20
Au 0.1316 0.6316 0.0000  1 Au 2.88, 2 Ca 3.02, 6 Tl 3.05-3.20
Au 0.3684 0.1316 0.0000  1 Au 2.88, 2 Ca 3.02, 6 Tl 3.05-3.20
Au 0.6316 0.8684 0.0000  1 Au 2.88, 2 Ca 3.02, 6 Tl 3.05-3.20
Au 0.8684 0.3684 0.0000  1 Au 2.88, 2 Ca 3.02, 6 Tl 3.05-3.20

=====

(5)
VASP calculation (PBE) on Ca4Tl2Au after structural relaxation.

Summary:
Its density of states at the Fermi level is 5.2 states/eV/cell. As for the formation energy: -413 meV/atom.

a b c (Å): 9.3275 9.3275 9.3275
angles (deg): 33.32 33.32 33.32
Last column: nearest neighbours and their distance in Å.
Fractional positions:
Ca 0.1214 0.1214 0.1214  1 Au 3.21, 4 Tl 3.23-3.34
Ca 0.3712 0.3712 0.3712  3 Au 3.25, 4 Tl 3.26-3.33
Ca 0.6288 0.6288 0.6288  3 Au 3.25, 4 Tl 3.26-3.33
Ca 0.8786 0.8786 0.8786  1 Au 3.21, 4 Tl 3.23-3.34
Tl 0.2479 0.2479 0.2479  8 Ca 3.23-3.34
Tl 0.7521 0.7521 0.7521  8 Ca 3.23-3.34
Au 0.0000 0.0000 0.0000  8 Ca 3.21-3.25

=====

(6)
VASP calculation (PBE) on Ca2Tl3Au after structural relaxation.

Summary:
Its density of states at the Fermi level is 2.8 states/eV/cell. As for the formation energy: -382 meV/atom.

a b c (Å): 3.6690 5.0850 8.8221
angles (deg): 90.00 90.00 90.00
Last column: nearest neighbours and their distance in Å.
Fractional positions:
Ca 0.0000 0.0000 0.0000  2 Au 3.23, 8 Tl 3.40-3.57
Ca 0.0000 0.5000 0.4541  8 Tl 3.27-3.61, 4 Au 3.41
Tl 0.5000 0.0000 0.6276  1 Au 2.87, 2 Tl 2.99
Tl 0.5000 0.5000 0.1477  2 Au 2.88, 1 Tl 3.01
Tl 0.5000 0.5000 0.8060  3 Tl 2.99-3.01
Au 0.5000 0.0000 0.3019  3 Tl 2.87-2.88

=====

(7)
VASP calculation (PBE) on CaTlAu6 after structural relaxation.

Summary:
The energy above the lowest structure with this stoichiometry comes out at 27 kJ/mol of formula units. Its density of states at the Fermi level is 4.3 states/eV/cell. As for the formation energy: -195 meV/atom.

a b c (Å): 5.4977 5.4977 5.4977
angles (deg): 90.00 90.00 90.00
Last column: nearest neighbours and their distance in Å.
Fractional positions:
Ca 0.0000 0.0000 0.0000  12 Au 3.07
Tl 0.5000 0.5000 0.5000  12 Au 3.08
Au 0.0000 0.2488 0.5000  2 Au 2.74-2.76
Au 0.0000 0.7512 0.5000  2 Au 2.74-2.76
Au 0.2488 0.5000 0.0000  2 Au 2.74-2.76
Au 0.5000 0.0000 0.2488  2 Au 2.74-2.76
Au 0.5000 0.0000 0.7512  2 Au 2.74-2.76
Au 0.7512 0.5000 0.0000  2 Au 2.74-2.76

=====

(8)
VASP calculation (PBE) on Ca3TlAu after structural relaxation.

Summary:
The energy above the lowest structure with this stoichiometry comes out at 0 kJ/mol of formula units. Its density of states at the Fermi level is 8.4 states/eV/cell. As for the formation energy: -498 meV/atom.

a b c (Å): 6.0903 6.0903 9.7093
angles (deg): 113.93 113.93 72.36
Last column: nearest neighbours and their distance in Å.
Fractional positions:
Ca 0.0844 0.0844 0.2919  2 Au 3.10, 2 Tl 3.30, 1 Ca 3.45
Ca 0.2927 0.2927 0.7067  2 Au 3.11, 2 Tl 3.31, 1 Ca 3.46
Ca 0.3008 0.3008 0.1018  4 Au 3.16-3.17, 2 Ca 3.45-3.46
Ca 0.6992 0.6992 0.8982  4 Au 3.16-3.17, 2 Ca 3.45-3.46
Ca 0.7073 0.7073 0.2933  2 Au 3.11, 2 Tl 3.31, 1 Ca 3.46
Ca 0.9156 0.9156 0.7081  2 Au 3.10, 2 Tl 3.30, 1 Ca 3.45
Tl 0.2936 0.7064 0.5000  1 Tl 2.97, 4 Ca 3.30-3.31
Tl 0.7064 0.2936 0.5000  1 Tl 2.97, 4 Ca 3.30-3.31
Au 0.2508 0.7492 0.0000  8 Ca 3.10-3.17
Au 0.7492 0.2508 0.0000  8 Ca 3.10-3.17

=====

(9)
VASP calculation (PBE) on CaTl2Au2 after structural relaxation.

Summary:
The energy above the lowest structure with this stoichiometry comes out at 0 kJ/mol of formula units. Its density of states at the Fermi level is 2.8 states/eV/cell. As for the formation energy: -294 meV/atom.

a b c (Å): 7.5026 7.5026 7.5026
angles (deg): 146.00 146.00 48.85
Last column: nearest neighbours and their distance in Å.
Fractional positions:
Ca 0.0000 0.0000 0.0000  8 Au 3.38
Tl 0.2500 0.7500 0.5000  4 Au 3.02, 4 Tl 3.10
Tl 0.7500 0.2500 0.5000  4 Au 3.02, 4 Tl 3.10
Au 0.4024 0.4024 0.0000  1 Au 2.67
Au 0.5976 0.5976 0.0000  1 Au 2.67

=====

(10)
VASP calculation (PBE) on CaTlAu after structural relaxation.

Summary:
Its density of states at the Fermi level is 1.5 states/eV/cell. As for the formation energy: -510 meV/atom.

a b c (Å): 4.9174 4.9174 3.6156
angles (deg): 90.00 90.00 120.00
Last column: nearest neighbours and their distance in Å.
Fractional positions:
Ca 0.0000 0.0000 0.0000  6 Tl 3.37, 6 Au 3.37, 2 Ca 3.62
Tl 0.6667 0.3333 0.5000  3 Au 2.84
Au 0.3333 0.6667 0.5000  3 Tl 2.84

=====

(11)
VASP calculation (PBE) on Ca2TlAu after structural relaxation.

Summary:
The energy above the lowest structure with this stoichiometry comes out at 97 kJ/mol of formula units. Its density of states at the Fermi level is 4.4 states/eV/cell. As for the formation energy: -342 meV/atom.

a b c (Å): 6.8751 6.8751 6.8751
angles (deg): 105.58 105.58 117.56
Last column: nearest neighbours and their distance in Å.
Fractional positions:
Ca 0.0927 0.6250 0.9677  2 Au 2.90
Ca 0.3750 0.3427 0.4677  2 Au 2.90
Ca 0.6573 0.1250 0.0323  2 Au 2.90
Ca 0.8750 0.9073 0.5323  2 Au 2.90
Tl 0.2500 0.7500 0.5000  4 Ca 3.26, 2 Au 3.56
Tl 0.5000 0.5000 0.0000  4 Ca 3.26, 2 Au 3.56
Au 0.0000 0.0000 0.0000  4 Ca 2.90
Au 0.7500 0.2500 0.5000  4 Ca 2.90

=====

(12)
VASP calculation (PBE) on Ca3Tl4Au2 after structural relaxation.

Summary:
Its density of states at the Fermi level is 3.9 states/eV/cell. As for the formation energy: -435 meV/atom.

a b c (Å): 6.2678 6.2678 9.4511
angles (deg): 114.89 114.89 46.59
Last column: nearest neighbours and their distance in Å.
Fractional positions:
Ca 0.0000 0.0000 0.0000  8 Tl 3.28-3.56, 4 Au 3.36
Ca 0.3185 0.3185 0.3585  3 Au 3.19-3.38, 7 Tl 3.36-3.50
Ca 0.6815 0.6815 0.6415  3 Au 3.19-3.38, 7 Tl 3.36-3.50
Tl 0.0271 0.0271 0.3605  2 Au 2.85, 1 Tl 2.97
Tl 0.2808 0.2808 0.9348  1 Au 2.87, 2 Tl 2.99
Tl 0.7192 0.7192 0.0652  1 Au 2.87, 2 Tl 2.99
Tl 0.9729 0.9729 0.6395  2 Au 2.85, 1 Tl 2.97
Au 0.4037 0.4037 0.7305  3 Tl 2.85-2.87, 1 Ca 3.19
Au 0.5963 0.5963 0.2695  3 Tl 2.85-2.87, 1 Ca 3.19

=====

(13)
VASP calculation (PBE) on CaTlAu after structural relaxation.

Summary:
Its density of states at the Fermi level is 0.6 states/eV/cell. As for the formation energy: -475 meV/atom.

a b c (Å): 5.6482 5.6482 5.6482
angles (deg): 139.77 139.77 58.21
Last column: nearest neighbours and their distance in Å.
Fractional positions:
Ca 0.0000 0.0000 0.0000  5 Tl 3.11-3.30, 5 Au 3.14-3.41
Tl 0.3154 0.3154 0.0000  5 Ca 3.11-3.30, 5 Au 3.18-3.34
Au 0.6541 0.6541 0.0000  5 Ca 3.14-3.41, 5 Tl 3.18-3.34

=====

(14)
VASP calculation (PBE) on Ca2TlAu after structural relaxation.

Summary:
The energy above the lowest structure with this stoichiometry comes out at 61 kJ/mol of formula units. Its density of states at the Fermi level is 2.6 states/eV/cell. As for the formation energy: -436 meV/atom.

a b c (Å): 4.2336 4.2336 6.5339
angles (deg): 90.00 90.00 90.00
Last column: nearest neighbours and their distance in Å.
Fractional positions:
Ca 0.0000 0.0000 0.0000  1 Tl 3.08, 4 Au 3.09
Ca 0.5000 0.5000 0.3668  2 Au 3.17-3.37, 4 Tl 3.18
Tl 0.0000 0.0000 0.5293  5 Ca 3.08-3.18
Au 0.5000 0.5000 0.8823  6 Ca 3.09-3.37

=====

(15)
VASP calculation (PBE) on Ca2TlAu after structural relaxation.

Summary:
The energy above the lowest structure with this stoichiometry comes out at 81 kJ/mol of formula units. Its density of states at the Fermi level is 0.7 states/eV/cell. As for the formation energy: -385 meV/atom.

a b c (Å): 5.1595 5.1595 5.1595
angles (deg): 60.00 60.00 60.00
Last column: nearest neighbours and their distance in Å.
Fractional positions:
Ca 0.0000 0.0000 0.0000  4 Tl 3.16, 4 Ca 3.16
Ca 0.2500 0.2500 0.2500  4 Au 3.16, 4 Ca 3.16
Tl 0.7500 0.7500 0.7500  4 Au 3.16, 4 Ca 3.16
Au 0.5000 0.5000 0.5000  4 Tl 3.16, 4 Ca 3.16

=====

(16)
VASP calculation (PBE) on Ca4TlAu3 after structural relaxation.

Summary:
Its density of states at the Fermi level is 4.1 states/eV/cell. As for the formation energy: -680 meV/atom.

a b c (Å): 3.6290 5.2991 10.5120
angles (deg): 90.00 90.00 90.00
Last column: nearest neighbours and their distance in Å.
Fractional positions:
Ca 0.0000 0.0000 0.0000  8 Au 3.21
Ca 0.0000 0.0000 0.5000  4 Au 3.18, 4 Tl 3.21
Ca 0.0000 0.5000 0.2364  6 Au 3.08-3.22, 2 Tl 3.31
Ca 0.0000 0.5000 0.7636  6 Au 3.08-3.22, 2 Tl 3.31
Tl 0.5000 0.5000 0.5000  8 Ca 3.21-3.31
Au 0.5000 0.0000 0.2519  8 Ca 3.18-3.22
Au 0.5000 0.0000 0.7481  8 Ca 3.18-3.22
Au 0.5000 0.5000 0.0000  8 Ca 3.08-3.21

=====

(17)
VASP calculation (PBE) on Ca6Tl5Au after structural relaxation.

Summary:
Its density of states at the Fermi level is 7.3 states/eV/cell. As for the formation energy: -489 meV/atom.

a b c (Å): 8.6034 8.6034 7.7285
angles (deg): 90.00 90.00 143.34
Last column: nearest neighbours and their distance in Å.
Fractional positions:
Ca 0.0000 0.0000 0.2372  2 Au 3.27, 6 Tl 3.38-3.44
Ca 0.0000 0.0000 0.7628  2 Au 3.27, 6 Tl 3.38-3.44
Ca 0.3405 0.6595 0.2451  1 Au 3.22, 7 Tl 3.27-3.42
Ca 0.3405 0.6595 0.7549  1 Au 3.22, 7 Tl 3.27-3.42
Ca 0.6595 0.3405 0.2451  1 Au 3.22, 7 Tl 3.27-3.42
Ca 0.6595 0.3405 0.7549  1 Au 3.22, 7 Tl 3.27-3.42
Tl 0.1696 0.8304 0.5000  8 Ca 3.35-3.44
Tl 0.1739 0.8261 0.0000  8 Ca 3.31-3.38, 2 Tl 3.67
Tl 0.5000 0.5000 0.5000  8 Ca 3.27-3.38
Tl 0.8261 0.1739 0.0000  8 Ca 3.31-3.38, 2 Tl 3.67
Tl 0.8304 0.1696 0.5000  8 Ca 3.35-3.44
Au 0.5000 0.5000 0.0000  8 Ca 3.22-3.27

=====

(18)
VASP calculation (PBE) on Ca5TlAu2 after structural relaxation.

Summary:
Its density of states at the Fermi level is 9.1 states/eV/cell. As for the formation energy: -604 meV/atom.

a b c (Å): 9.2483 9.2483 9.2483
angles (deg): 128.17 128.17 76.34
Last column: nearest neighbours and their distance in Å.
Fractional positions:
Ca 0.0000 0.0000 0.0000  4 Au 3.17
Ca 0.0256 0.5256 0.8326  3 Au 3.09-3.17, 2 Tl 3.41
Ca 0.1930 0.0256 0.5000  3 Au 3.09-3.17, 2 Tl 3.41
Ca 0.3070 0.8070 0.8326  3 Au 3.09-3.17, 2 Tl 3.41
Ca 0.4744 0.3070 0.5000  3 Au 3.09-3.17, 2 Tl 3.41
Ca 0.5000 0.5000 0.0000  4 Au 3.17
Ca 0.5256 0.6930 0.5000  3 Au 3.09-3.17, 2 Tl 3.41
Ca 0.6930 0.1930 0.1674  3 Au 3.09-3.17, 2 Tl 3.41
Ca 0.8070 0.9744 0.5000  3 Au 3.09-3.17, 2 Tl 3.41
Ca 0.9744 0.4744 0.1674  3 Au 3.09-3.17, 2 Tl 3.41
Tl 0.2500 0.2500 0.0000  10 Ca 3.41-3.64
Tl 0.7500 0.7500 0.0000  10 Ca 3.41-3.64
Au 0.1309 0.3691 0.5000  1 Au 2.99, 8 Ca 3.09-3.17
Au 0.3691 0.8691 0.2382  1 Au 2.99, 8 Ca 3.09-3.17
Au 0.6309 0.1309 0.7618  1 Au 2.99, 8 Ca 3.09-3.17
Au 0.8691 0.6309 0.5000  1 Au 2.99, 8 Ca 3.09-3.17

=====

(19)
VASP calculation (PBE) on Ca2Tl2Au after structural relaxation.

Summary:
The energy above the lowest structure with this stoichiometry comes out at 0 kJ/mol of formula units. Its density of states at the Fermi level is 4.9 states/eV/cell. As for the formation energy: -474 meV/atom.

a b c (Å): 6.2272 6.2272 12.4738
angles (deg): 109.49 109.49 38.17
Last column: nearest neighbours and their distance in Å.
Fractional positions:
Ca 0.0114 0.0114 0.1779  3 Au 3.14-3.51, 6 Tl 3.32-3.46
Ca 0.1847 0.1847 0.6203  2 Au 3.06, 5 Tl 3.20-3.38
Ca 0.8153 0.8153 0.3797  2 Au 3.06, 5 Tl 3.20-3.38
Ca 0.9886 0.9886 0.8221  3 Au 3.14-3.51, 6 Tl 3.32-3.46
Tl 0.3434 0.3434 0.9543  3 Au 2.95-3.15
Tl 0.4487 0.4487 0.6013  1 Au 3.02, 1 Tl 3.16, 5 Ca 3.20-3.35
Tl 0.5513 0.5513 0.3987  1 Au 3.02, 1 Tl 3.16, 5 Ca 3.20-3.35
Tl 0.6566 0.6566 0.0457  3 Au 2.95-3.15
Au 0.3160 0.3160 0.1963  4 Tl 2.95-3.15, 4 Ca 3.06-3.14
Au 0.6840 0.6840 0.8037  4 Tl 2.95-3.15, 4 Ca 3.06-3.14

=====

(20)
VASP calculation (PBE) on Ca2TlAu after structural relaxation.

Summary:
The energy above the lowest structure with this stoichiometry comes out at 0 kJ/mol of formula units. Its density of states at the Fermi level is 2.6 states/eV/cell. As for the formation energy: -594 meV/atom.

a b c (Å): 3.6426 3.6426 8.0718
angles (deg): 90.00 90.00 90.00
Last column: nearest neighbours and their distance in Å.
Fractional positions:
Ca 0.0000 0.0000 0.2247  4 Au 3.15, 4 Tl 3.40
Ca 0.0000 0.0000 0.7753  4 Au 3.15, 4 Tl 3.40
Tl 0.5000 0.5000 0.5000  8 Ca 3.40, 4 Tl 3.64
Au 0.5000 0.5000 0.0000  8 Ca 3.15